(1)
VASP calculation (PBE) on a relaxed structure of KCd2GePt.

## Properties
Space-group type: P4/mmm (123)
E in hartree per atom: -0.1065
Formation energy in eV/atom: -0.182
DOS(E_F) in states/eV per cell: 2.85

Cell lengths 5.341, 5.341, 4.837 Å; angles 90.00, 90.00, 90.00 degrees
Fractional positions:
Ge  0.000  0.000  0.500
K  0.500  0.500  0.500
Pt  0.000  0.000  0.000
Cd  0.000  0.500  0.000
Cd  0.500  0.000  0.000


(2)
VASP calculation (PBE) on a relaxed structure of CsPbC3.

## Properties
Space-group type: Pm-3m (221)
Excess energy over the best structure of this formula in the dataset in meV/atom: 0
E in hartree per atom: -0.1292
Formation energy in eV/atom: 2.931
DOS(E_F) in states/eV per cell: 4.00

Cell lengths 4.911, 4.911, 4.911 Å; angles 90.00, 90.00, 90.00 degrees
Fractional positions:
Cs  0.500  0.500  0.500
Pb  0.000  0.000  0.000
C  0.000  0.500  0.000
C  0.000  0.000  0.500
C  0.500  0.000  0.000


(3)
VASP calculation (PBE) on a relaxed structure of PaTe5Au.

## Properties
Space-group type: C2/c (15)
E in hartree per atom: -0.1632
ΔE_f (raw) in eV/atom: -0.37

Cell lengths 8.930, 8.930, 8.168 Å; angles 63.04, 63.04, 73.00 degrees
Fractional positions:
Pa  0.556  0.444  0.250
Pa  0.444  0.556  0.750
Te  0.753  0.637  0.317
Te  0.435  0.788  0.319
Te  0.637  0.753  0.817
Te  0.847  0.153  0.250
Te  0.212  0.565  0.181
Te  0.788  0.435  0.819
Te  0.153  0.847  0.750
Te  0.363  0.247  0.183
Te  0.565  0.212  0.681
Te  0.247  0.363  0.683
Au  0.000  0.000  0.000
Au  0.000  0.000  0.500


(4)
VASP calculation (PBE) on a relaxed structure of HgPdAu.

## Properties
Space-group type: Ima2 (46)
Excess energy over the best structure of this formula in the dataset in meV/atom: 0
E in hartree per atom: -0.1099
Formation energy in eV/atom: -0.066
DOS(E_F) in states/eV per cell: 0.99

Cell lengths 5.537, 5.537, 5.537 Å; angles 103.77, 110.92, 113.89 degrees
Fractional positions:
Hg  0.499  0.622  0.622
Hg  0.501  0.122  0.123
Pd  0.000  0.623  0.623
Pd  0.500  0.123  0.623
Au  0.000  0.123  0.623
Au  0.000  0.623  0.123


(5)
VASP calculation (PBE) on a relaxed structure of Ba2FeRh.

## Properties
Space-group type: I-4m2 (119)
Excess energy over the best structure of this formula in the dataset in meV/atom: 474
E in hartree per atom: -0.1580
Formation energy in eV/atom: 0.616
DOS(E_F) in states/eV per cell: 6.19

Cell lengths 6.250, 6.250, 6.250 Å; angles 137.07, 137.07, 62.32 degrees
Fractional positions:
Ba  0.000  0.000  0.000
Ba  0.250  0.750  0.500
Fe  0.500  0.500  0.000
Rh  0.750  0.250  0.500


(6)
VASP calculation (PBE) on a relaxed structure of Sm2MgAg3.

## Properties
Space-group type: P4/mmm (123)
Excess energy over the best structure of this formula in the dataset in meV/atom: 28
E in hartree per atom: -0.1289
Formation energy in eV/atom: -0.242
DOS(E_F) in states/eV per cell: 3.88

Cell lengths 3.573, 3.573, 10.964 Å; angles 90.00, 90.00, 90.00 degrees
Fractional positions:
Sm  0.500  0.500  0.823
Sm  0.500  0.500  0.177
Mg  0.500  0.500  0.500
Ag  0.000  0.000  0.000
Ag  0.000  0.000  0.641
Ag  0.000  0.000  0.359


(7)
VASP calculation (PBE) on a relaxed structure of FeOs3.

## Properties
Space-group type: R-3m (166)
E in hartree per atom: -0.3642
Formation energy in eV/atom: 0.627
DOS(E_F) in states/eV per cell: 6.82

Cell lengths 2.677, 5.033, 5.033 Å; angles 63.07, 79.79, 100.21 degrees
Fractional positions:
Fe  0.000  0.000  0.000
Os  0.000  0.500  0.500
Os  0.500  0.500  0.000
Os  0.500  0.000  0.500


(8)
VASP calculation (PBE) on a relaxed structure of Dy3Er8Sc2.

## Properties
Space-group type: C2/m (12)
Excess energy over the best structure of this formula in the dataset in meV/atom: 6
E in hartree per atom: -0.1691
Formation energy in eV/atom: 0.243
DOS(E_F) in states/eV per cell: 19.13

Cell lengths 5.516, 7.591, 10.409 Å; angles 111.38, 90.02, 90.00 degrees
Fractional positions:
Dy  0.500  0.000  0.000
Dy  0.000  0.287  0.000
Dy  0.000  0.713  0.000
Er  0.001  0.676  0.352
Er  0.999  0.324  0.648
Er  0.000  0.135  0.271
Er  0.000  0.865  0.729
Er  0.500  0.598  0.775
Er  0.500  0.177  0.775
Er  0.500  0.823  0.225
Er  0.500  0.402  0.225
Sc  0.499  0.241  0.482
Sc  0.501  0.759  0.518


(9)
VASP calculation (PBE) on a relaxed structure of AcGd2Er.

## Properties
Space-group type: Fm-3m (225)
Excess energy over the best structure of this formula in the dataset in meV/atom: 75
E in hartree per atom: -0.3339
Formation energy in eV/atom: 0.123
DOS(E_F) in states/eV per cell: 8.17

Cell lengths 5.832, 5.832, 5.832 Å; angles 60.00, 60.00, 60.00 degrees
Fractional positions:
Ac  0.500  0.500  0.500
Gd  0.250  0.250  0.250
Gd  0.750  0.750  0.750
Er  0.000  0.000  0.000


(10)
VASP calculation (PBE) on a relaxed structure of Al2InRh3.

## Properties
Space-group type: P4/mmm (123)
E in hartree per atom: -0.2294
Formation energy in eV/atom: -0.864
DOS(E_F) in states/eV per cell: 1.83

Cell lengths 2.997, 2.997, 9.813 Å; angles 90.00, 90.00, 90.00 degrees
Fractional positions:
Al  0.500  0.500  0.843
Al  0.500  0.500  0.157
In  0.500  0.500  0.500
Rh  0.000  0.000  0.000
Rh  0.000  0.000  0.694
Rh  0.000  0.000  0.306


(11)
VASP calculation (PBE) on a relaxed structure of Cs2USe3O.

## Properties
Space-group type: Immm (71)
E in hartree per atom: -0.2061
DOS(E_F) in states/eV per cell: 0.03
ΔE_f (raw) in eV/atom: -1.55

Cell lengths 4.250, 5.671, 10.150 Å; angles 106.22, 102.08, 90.00 degrees
Fractional positions:
Cs  0.658  0.658  0.317
Cs  0.342  0.342  0.683
U  0.000  0.000  0.000
Se  0.000  0.500  0.000
Se  0.139  0.139  0.278
Se  0.861  0.861  0.722
O  0.500  0.000  0.000


(12)
VASP calculation (PBE) on a relaxed structure of BaHg2Se2.

## Properties
Space-group type: I4/mmm (139)
Excess energy over the best structure of this formula in the dataset in meV/atom: 36
E in hartree per atom: -0.0970
DOS(E_F) in states/eV per cell: 0.50
ΔE_f (raw) in eV/atom: -0.74

Cell lengths 5.360, 5.360, 6.312 Å; angles 64.88, 64.88, 90.00 degrees
Fractional positions:
Hg  0.366  0.366  0.267
Hg  0.634  0.634  0.733
Se  0.750  0.250  0.500
Se  0.250  0.750  0.500
Ba  0.000  0.000  0.000


| no. | calculated density (g/cm³) |
| --- | --- |
| 1 | 6.40 |
| 2 | 5.27 |
| 3 | 6.88 |
| 4 | 12.91 |
| 5 | 6.43 |
| 6 | 7.69 |
| 7 | 18.29 |
| 8 | 7.84 |
| 9 | 8.39 |
| 10 | 9.00 |
| 11 | 5.48 |
| 12 | 7.97 |